Entry 1:
# Zr2NiAgPb PBE relaxed
data_Zr2NiAgPb
_chemical_formula_sum 'Zr2 Ni1 Ag1 Pb1'
_cell_length_a 5.4269
_cell_length_b 5.4269
_cell_length_c 5.0325
_cell_angle_alpha 90.00
_cell_angle_beta 90.00
_cell_angle_gamma 90.00
_symmetry_space_group_name_H-M 'P 1'
_symmetry_Int_Tables_number 1
loop_
_symmetry_equiv_pos_as_xyz
'x,y,z'
loop_
_atom_site_label
_atom_site_fract_x
_atom_site_fract_y
_atom_site_fract_z
Zr1 0.0000 0.5000 0.0000
Zr2 0.5000 0.0000 0.0000
Ni1 0.0000 0.0000 0.5000
Ag1 0.5000 0.5000 0.5000
Pb1 0.5000 0.5000 0.0000
# space group	No. 123
# energy	-4.45	eV/atom
# calculated density	6.23	Mg/m³
# N(E_F)	8.88	states/eV/f.u.


Entry 2:
# Ni4AgPd PBE relaxed
data_Ni4AgPd
_chemical_formula_sum 'Ni4 Ag1 Pd1'
_cell_length_a 4.7648
_cell_length_b 4.7648
_cell_length_c 4.7648
_cell_angle_alpha 60.00
_cell_angle_beta 60.00
_cell_angle_gamma 60.00
_symmetry_space_group_name_H-M 'P 1'
_symmetry_Int_Tables_number 1
loop_
_symmetry_equiv_pos_as_xyz
'x,y,z'
loop_
_atom_site_label
_atom_site_fract_x
_atom_site_fract_y
_atom_site_fract_z
Ni1 0.1253 0.1253 0.1253
Ni2 0.1253 0.1253 0.6241
Ni3 0.1253 0.6241 0.1253
Ni4 0.6241 0.1253 0.1253
Ag1 0.7500 0.7500 0.7500
Pd1 0.5000 0.5000 0.5000
# space group	No. 216
# energy	-5.09	eV/atom
# calculated density	9.75	Mg/m³
# N(E_F)	6.96	states/eV/f.u.


Entry 3:
# NiAgPd4 PBE relaxed
data_NiAgPd4
_chemical_formula_sum 'Ni1 Ag1 Pd4'
_cell_length_a 2.7946
_cell_length_b 2.7946
_cell_length_c 11.6208
_cell_angle_alpha 90.00
_cell_angle_beta 90.00
_cell_angle_gamma 90.00
_symmetry_space_group_name_H-M 'P 1'
_symmetry_Int_Tables_number 1
loop_
_symmetry_equiv_pos_as_xyz
'x,y,z'
loop_
_atom_site_label
_atom_site_fract_x
_atom_site_fract_y
_atom_site_fract_z
Ni1 0.0000 0.0000 0.0000
Ag1 0.5000 0.5000 0.5000
Pd1 0.0000 0.0000 0.3191
Pd2 0.0000 0.0000 0.6809
Pd3 0.5000 0.5000 0.1465
Pd4 0.5000 0.5000 0.8535
# space group	No. 123
# energy	-4.91	eV/atom
# calculated density	10.84	Mg/m³
# N(E_F)	6.84	states/eV/f.u.


Entry 4:
# NiAg2Pd5 PBE relaxed
data_NiAg2Pd5
_chemical_formula_sum 'Ni1 Ag2 Pd5'
_cell_length_a 5.4708
_cell_length_b 5.4708
_cell_length_c 5.4707
_cell_angle_alpha 107.57
_cell_angle_beta 107.57
_cell_angle_gamma 113.30
_symmetry_space_group_name_H-M 'P 1'
_symmetry_Int_Tables_number 1
loop_
_symmetry_equiv_pos_as_xyz
'x,y,z'
loop_
_atom_site_label
_atom_site_fract_x
_atom_site_fract_y
_atom_site_fract_z
Ni1 0.0000 0.0000 0.0000
Ag1 0.4632 0.9644 0.4831
Ag2 0.9644 0.4632 0.4831
Pd1 0.4326 0.4326 0.9992
Pd2 0.4810 0.9478 0.9841
Pd3 0.4899 0.4899 0.5332
Pd4 0.9478 0.4810 0.9841
Pd5 0.9548 0.9548 0.4667
# space group	No. 8
# energy	-4.59	eV/atom
# calculated density	10.66	Mg/m³
# N(E_F)	9.76	states/eV/f.u.


Entry 5:
# NiAg2Pd2 PBE relaxed
data_NiAg2Pd2
_chemical_formula_sum 'Ni2 Ag4 Pd4'
_cell_length_a 6.3662
_cell_length_b 6.3662
_cell_length_c 4.2274
_cell_angle_alpha 90.00
_cell_angle_beta 90.00
_cell_angle_gamma 90.00
_symmetry_space_group_name_H-M 'P 1'
_symmetry_Int_Tables_number 1
loop_
_symmetry_equiv_pos_as_xyz
'x,y,z'
loop_
_atom_site_label
_atom_site_fract_x
_atom_site_fract_y
_atom_site_fract_z
Ni1 0.0000 0.0000 0.0000
Ni2 0.5000 0.5000 0.0000
Ag1 0.1622 0.3378 0.5000
Ag2 0.3378 0.8378 0.5000
Ag3 0.6622 0.1622 0.5000
Ag4 0.8378 0.6622 0.5000
Pd1 0.1444 0.6444 0.0000
Pd2 0.3556 0.1444 0.0000
Pd3 0.6444 0.8556 0.0000
Pd4 0.8556 0.3556 0.0000
# space group	No. 127
# energy	-4.09	eV/atom
# calculated density	9.45	Mg/m³
# N(E_F)	4.88	states/eV/f.u.


Entry 6:
# Ni2AgPd2 PBE relaxed
data_Ni2AgPd2
_chemical_formula_sum 'Ni4 Ag2 Pd4'
_cell_length_a 7.3589
_cell_length_b 7.3589
_cell_length_c 2.7322
_cell_angle_alpha 90.00
_cell_angle_beta 90.00
_cell_angle_gamma 90.00
_symmetry_space_group_name_H-M 'P 1'
_symmetry_Int_Tables_number 1
loop_
_symmetry_equiv_pos_as_xyz
'x,y,z'
loop_
_atom_site_label
_atom_site_fract_x
_atom_site_fract_y
_atom_site_fract_z
Ni1 0.1637 0.3363 0.0000
Ni2 0.3363 0.8363 0.0000
Ni3 0.6637 0.1637 0.0000
Ni4 0.8363 0.6637 0.0000
Ag1 0.0000 0.0000 0.5000
Ag2 0.5000 0.5000 0.5000
Pd1 0.1332 0.6332 0.5000
Pd2 0.3668 0.1332 0.5000
Pd3 0.6332 0.8668 0.5000
Pd4 0.8668 0.3668 0.5000
# space group	No. 127
# energy	-4.78	eV/atom
# calculated density	9.83	Mg/m³
# N(E_F)	7.49	states/eV/f.u.


Entry 7:
# NiAg2Pd PBE relaxed
data_NiAg2Pd
_chemical_formula_sum 'Ni1 Ag2 Pd1'
_cell_length_a 10.1193
_cell_length_b 10.1193
_cell_length_c 10.1193
_cell_angle_alpha 15.69
_cell_angle_beta 15.69
_cell_angle_gamma 15.69
_symmetry_space_group_name_H-M 'P 1'
_symmetry_Int_Tables_number 1
loop_
_symmetry_equiv_pos_as_xyz
'x,y,z'
loop_
_atom_site_label
_atom_site_fract_x
_atom_site_fract_y
_atom_site_fract_z
Ni1 0.0000 0.0000 0.0000
Ag1 0.0859 0.0859 0.0859
Ag2 0.9141 0.9141 0.9141
Pd1 0.5000 0.5000 0.5000
# space group	No. 166
# energy	-3.85	eV/atom
# calculated density	9.57	Mg/m³
# N(E_F)	5.70	states/eV/f.u.


Entry 8:
# Ni4AgPd15 PBE relaxed
data_Ni4AgPd15
_chemical_formula_sum 'Ni4 Ag1 Pd15'
_cell_length_a 3.8996
_cell_length_b 3.8996
_cell_length_c 19.4261
_cell_angle_alpha 90.00
_cell_angle_beta 90.00
_cell_angle_gamma 90.00
_symmetry_space_group_name_H-M 'P 1'
_symmetry_Int_Tables_number 1
loop_
_symmetry_equiv_pos_as_xyz
'x,y,z'
loop_
_atom_site_label
_atom_site_fract_x
_atom_site_fract_y
_atom_site_fract_z
Ni1 0.0000 0.0000 0.0983
Ni2 0.0000 0.0000 0.2948
Ni3 0.0000 0.0000 0.7052
Ni4 0.0000 0.0000 0.9017
Ag1 0.0000 0.0000 0.5000
Pd1 0.0000 0.5000 0.0000
Pd2 0.0000 0.5000 0.1968
Pd3 0.0000 0.5000 0.3930
Pd4 0.0000 0.5000 0.6070
Pd5 0.0000 0.5000 0.8032
Pd6 0.5000 0.0000 0.0000
Pd7 0.5000 0.0000 0.1968
Pd8 0.5000 0.0000 0.3930
Pd9 0.5000 0.0000 0.6070
Pd10 0.5000 0.0000 0.8032
Pd11 0.5000 0.5000 0.0985
Pd12 0.5000 0.5000 0.2950
Pd13 0.5000 0.5000 0.5000
Pd14 0.5000 0.5000 0.7050
Pd15 0.5000 0.5000 0.9015
# space group	No. 123
# energy	-5.16	eV/atom
# calculated density	10.90	Mg/m³
# N(E_F)	35.89	states/eV/f.u.